# Pm3Sm2Er3 (PBE, optimized geometry)
data_Pm3Sm2Er3
_chemical_formula_sum 'Pm6 Sm4 Er6'
_cell_length_a 5.068
_cell_length_b 5.084
_cell_length_c 20.306
_cell_angle_alpha 90.00
_cell_angle_beta 90.00
_cell_angle_gamma 90.00
_space_group_name_H-M_alt 'I m m m'
_space_group_IT_number 71
_space_group_name_Hall '-I 2 2'
loop_
_atom_site_label
_atom_site_type_symbol
_atom_site_fract_x
_atom_site_fract_y
_atom_site_fract_z
_atom_site_occupancy
Pm1 Pm 0.000 0.000 0.000 1
Pm2 Pm 0.000 0.500 0.124 1
Sm1 Sm 0.000 0.000 0.249 1
Er1 Er 0.000 0.000 0.500 1
Er2 Er 0.000 0.500 0.375 1
# energy relative to the lowest polymorph listed for this composition: 0 meV/atom

=====

# Be2WCl (PBE, optimized geometry)
data_Be2WCl
_chemical_formula_sum 'Be8 W4 Cl4'
_cell_length_a 6.258
_cell_length_b 6.258
_cell_length_c 5.237
_cell_angle_alpha 90.00
_cell_angle_beta 90.00
_cell_angle_gamma 90.00
_space_group_name_H-M_alt 'I -4 2 d'
_space_group_IT_number 122
_space_group_name_Hall 'I -4 2bw'
loop_
_atom_site_label
_atom_site_type_symbol
_atom_site_fract_x
_atom_site_fract_y
_atom_site_fract_z
_atom_site_occupancy
Be1 Be 0.214 0.250 0.125 1
W1 W 0.000 0.000 0.500 1
Cl1 Cl 0.000 0.000 0.000 1
# energy relative to the lowest polymorph listed for this composition: 752 meV/atom

=====

The following is a DFT calculation (PBE) of Cr2Co after structural relaxation.

Geometry as CIF:
```
data_Cr2Co
_chemical_formula_sum 'Cr8 Co4'
_cell_length_a 3.687
_cell_length_b 11.188
_cell_length_c 3.259
_cell_angle_alpha 90.00
_cell_angle_beta 90.00
_cell_angle_gamma 90.00
_space_group_name_H-M_alt 'C m c m'
_space_group_IT_number 63
_space_group_name_Hall '-C 2c 2'
loop_
_atom_site_label
_atom_site_type_symbol
_atom_site_fract_x
_atom_site_fract_y
_atom_site_fract_z
_atom_site_occupancy
Cr1 Cr 0.000 0.075 0.250 1
Cr2 Cr 0.000 0.245 0.750 1
Co1 Co 0.000 0.419 0.250 1
```

=====

The following is a DFT calculation (PBE) of BePb2W after structural relaxation.

Geometry as CIF:
```
data_BePb2W
_chemical_formula_sum 'Be2 Pb4 W2'
_cell_length_a 3.668
_cell_length_b 3.793
_cell_length_c 13.369
_cell_angle_alpha 90.00
_cell_angle_beta 90.00
_cell_angle_gamma 90.00
_space_group_name_H-M_alt 'I m m 2'
_space_group_IT_number 44
_space_group_name_Hall 'I 2 -2'
loop_
_atom_site_label
_atom_site_type_symbol
_atom_site_fract_x
_atom_site_fract_y
_atom_site_fract_z
_atom_site_occupancy
Be1 Be 0.000 0.000 0.000 1
Pb1 Pb 0.000 0.000 0.433 1
Pb2 Pb 0.000 0.500 0.193 1
W1 W 0.000 0.500 0.610 1
```

=====

# Sr2ScCu (PBE, optimized geometry)
data_Sr2ScCu
_chemical_formula_sum 'Sr4 Sc2 Cu2'
_cell_length_a 4.775
_cell_length_b 4.775
_cell_length_c 11.219
_cell_angle_alpha 90.00
_cell_angle_beta 90.00
_cell_angle_gamma 90.00
_space_group_name_H-M_alt 'I -4 m 2'
_space_group_IT_number 119
_space_group_name_Hall 'I -4 -2'
loop_
_atom_site_label
_atom_site_type_symbol
_atom_site_fract_x
_atom_site_fract_y
_atom_site_fract_z
_atom_site_occupancy
Sr1 Sr 0.000 0.000 0.000 1
Sr2 Sr 0.000 0.500 0.250 1
Sc1 Sc 0.000 0.000 0.500 1
Cu1 Cu 0.000 0.500 0.750 1
# energy relative to the lowest polymorph listed for this composition: 360 meV/atom

=====

The following is a DFT calculation (PBE) of V2HgTeSe after structural relaxation.

Geometry as CIF:
```
data_V2HgTeSe
_chemical_formula_sum 'V2 Hg1 Te1 Se1'
_cell_length_a 4.919
_cell_length_b 4.919
_cell_length_c 5.296
_cell_angle_alpha 90.00
_cell_angle_beta 90.00
_cell_angle_gamma 90.00
_space_group_name_H-M_alt 'P 4/m m m'
_space_group_IT_number 123
_space_group_name_Hall '-P 4 2'
loop_
_atom_site_label
_atom_site_type_symbol
_atom_site_fract_x
_atom_site_fract_y
_atom_site_fract_z
_atom_site_occupancy
V1 V 0.000 0.500 0.000 1
Hg1 Hg 0.000 0.000 0.500 1
Te1 Te 0.500 0.500 0.500 1
Se1 Se 0.000 0.000 0.000 1
```

=====

# NpAlGa3 (PBE, optimized geometry)
data_NpAlGa3
_chemical_formula_sum 'Np4 Al4 Ga12'
_cell_length_a 23.217
_cell_length_b 4.058
_cell_length_c 4.246
_cell_angle_alpha 90.00
_cell_angle_beta 90.04
_cell_angle_gamma 90.00
_space_group_name_H-M_alt 'C 1 2/m 1'
_space_group_IT_number 12
_space_group_name_Hall '-C 2y'
loop_
_atom_site_label
_atom_site_type_symbol
_atom_site_fract_x
_atom_site_fract_y
_atom_site_fract_z
_atom_site_occupancy
Np1 Np 0.082 0.000 0.250 1
Al1 Al 0.131 0.500 0.751 1
Ga1 Ga 0.026 0.500 0.750 1
Ga2 Ga 0.194 0.500 0.253 1
Ga3 Ga 0.198 0.000 0.758 1
# energy relative to the lowest polymorph listed for this composition: 0 meV/atom

=====

The following is a DFT calculation (PBE) of LaZrPb2 after structural relaxation.

Geometry as CIF:
```
data_LaZrPb2
_chemical_formula_sum 'La2 Zr2 Pb4'
_cell_length_a 4.576
_cell_length_b 4.576
_cell_length_c 10.865
_cell_angle_alpha 90.00
_cell_angle_beta 90.00
_cell_angle_gamma 90.00
_space_group_name_H-M_alt 'I -4 m 2'
_space_group_IT_number 119
_space_group_name_Hall 'I -4 -2'
loop_
_atom_site_label
_atom_site_type_symbol
_atom_site_fract_x
_atom_site_fract_y
_atom_site_fract_z
_atom_site_occupancy
La1 La 0.000 0.000 0.000 1
Zr1 Zr 0.000 0.500 0.750 1
Pb1 Pb 0.000 0.000 0.500 1
Pb2 Pb 0.000 0.500 0.250 1
```

=====

The following is a DFT calculation (PBE) of HfSnPbF2 after structural relaxation.

Geometry as CIF:
```
data_HfSnPbF2
_chemical_formula_sum 'Hf1 Sn1 Pb1 F2'
_cell_length_a 4.251
_cell_length_b 4.251
_cell_length_c 6.077
_cell_angle_alpha 90.00
_cell_angle_beta 90.00
_cell_angle_gamma 90.00
_space_group_name_H-M_alt 'P 4/m m m'
_space_group_IT_number 123
_space_group_name_Hall '-P 4 2'
loop_
_atom_site_label
_atom_site_type_symbol
_atom_site_fract_x
_atom_site_fract_y
_atom_site_fract_z
_atom_site_occupancy
Hf1 Hf 0.000 0.000 0.000 1
Sn1 Sn 0.500 0.500 0.500 1
Pb1 Pb 0.000 0.000 0.500 1
F1 F 0.000 0.500 0.000 1
```

=====

The following is a DFT calculation (PBE) of MgRh2Pb after structural relaxation.

Geometry as CIF:
```
data_MgRh2Pb
_chemical_formula_sum 'Mg2 Rh4 Pb2'
_cell_length_a 8.702
_cell_length_b 3.195
_cell_length_c 5.214
_cell_angle_alpha 90.00
_cell_angle_beta 102.84
_cell_angle_gamma 90.00
_space_group_name_H-M_alt 'C 1 2/m 1'
_space_group_IT_number 12
_space_group_name_Hall '-C 2y'
loop_
_atom_site_label
_atom_site_type_symbol
_atom_site_fract_x
_atom_site_fract_y
_atom_site_fract_z
_atom_site_occupancy
Mg1 Mg 0.000 0.000 0.000 1
Rh1 Rh 0.247 0.500 0.233 1
Pb1 Pb 0.000 0.500 0.500 1
```

=====

The following is a DFT calculation (PBE) of PrTa6S8 after structural relaxation.

Geometry as CIF:
```
data_PrTa6S8
_chemical_formula_sum 'Pr3 Ta18 S24'
_cell_length_a 9.1730
_cell_length_b 9.1730
_cell_length_c 12.0059
_cell_angle_alpha 90.00
_cell_angle_beta 90.00
_cell_angle_gamma 120.00
_space_group_name_H-M_alt 'R -3'
_space_group_IT_number 148
_space_group_name_Hall '-R 3'
loop_
_atom_site_label
_atom_site_type_symbol
_atom_site_fract_x
_atom_site_fract_y
_atom_site_fract_z
_atom_site_occupancy
Pr1 Pr 0.0000 0.0000 0.0000 1
Ta1 Ta 0.0185 0.8319 0.3900 1
S1 S 0.0000 0.0000 0.2348 1
S2 S 0.0045 0.6339 0.2400 1
```

=====

# LaCeSe2 (PBE, optimized geometry)
data_LaCeSe2
_chemical_formula_sum 'La2 Ce2 Se4'
_cell_length_a 4.2017
_cell_length_b 4.2017
_cell_length_c 14.3909
_cell_angle_alpha 90.00
_cell_angle_beta 90.00
_cell_angle_gamma 120.00
_space_group_name_H-M_alt 'P 63/m m c'
_space_group_IT_number 194
_space_group_name_Hall '-P 6c 2c'
loop_
_atom_site_label
_atom_site_type_symbol
_atom_site_fract_x
_atom_site_fract_y
_atom_site_fract_z
_atom_site_occupancy
La1 La 0.3333 0.6667 0.2500 1
Ce1 Ce 0.0000 0.0000 0.0000 1
Se1 Se 0.3333 0.6667 0.6205 1
# energy relative to the lowest polymorph listed for this composition: 30 meV/atom

=====

no.,final energy (Ha/atom)
1,-0.17101
2,-0.16936
3,-0.31847
4,-0.18947
5,-0.11080
6,-0.16522
7,-0.19125
8,-0.20065
9,-0.21287
10,-0.18688
11,-0.30218
12,-0.23281